(1)
K3Sn2H6, optimized geometry, DFT PBE; energy = -2.8693 eV per atom
1.0
3.196 -3.257 0.000
3.196 3.257 0.000
-2.693 0.000 10.604
K Sn H
3 2 6
Cartesian
0.000 0.000 0.000
0.190 0.000 3.842
3.510 0.000 6.762
0.224 0.000 8.681
3.475 0.000 1.922
2.180 1.310 2.144
0.137 0.000 6.648
1.519 1.310 8.460
2.180 -1.310 2.144
3.563 0.000 3.955
1.519 -1.310 8.460

---

(2)
KSn2H, optimized geometry, DFT PBE; energy = -2.9311 eV per atom; offset from the most stable computed form = 0.0 kJ/mol of formula units
1.0
6.333 0.000 0.000
0.000 6.333 0.000
0.000 0.000 11.645
K Sn H
4 8 4
Cartesian
0.000 0.000 0.000
0.000 3.167 2.911
3.167 0.000 8.734
3.167 3.167 5.823
0.217 1.583 7.278
1.583 3.383 10.190
1.583 6.116 4.367
2.950 1.583 1.456
3.383 4.750 1.456
4.750 0.217 4.367
4.750 2.950 10.190
6.116 4.750 7.278
0.000 0.000 5.823
0.000 3.167 8.734
3.167 0.000 2.911
3.167 3.167 0.000

---

(3)
K4Sn2H, optimized geometry, DFT PBE; energy = -2.1918 eV per atom
1.0
5.773 0.000 0.000
0.000 5.773 0.000
0.000 0.000 17.546
K Sn H
8 4 2
Cartesian
0.000 0.000 3.222
0.000 0.000 14.324
0.000 2.887 0.000
0.000 2.887 8.773
2.887 0.000 0.000
2.887 0.000 8.773
2.887 2.887 5.551
2.887 2.887 11.995
0.000 0.000 6.731
0.000 0.000 10.815
2.887 2.887 2.042
2.887 2.887 15.504
0.000 0.000 8.773
2.887 2.887 0.000

---

(4)
KTcSnH6, optimized geometry, DFT PBE; energy = -4.0398 eV per atom
1.0
4.679 0.000 0.000
2.335 4.167 0.000
0.864 0.042 5.938
K Tc Sn H
1 1 1 6
Cartesian
0.000 0.000 0.000
2.770 1.239 2.973
5.111 2.683 2.976
2.276 2.334 4.221
1.421 0.467 3.570
2.088 0.639 1.530
3.263 2.346 1.739
3.445 0.610 4.411
4.116 0.477 2.356

---

(5)
K2TlSnH, optimized geometry, DFT PBE; energy = -2.3677 eV per atom
1.0
5.616 0.000 0.000
0.000 5.616 0.000
0.000 0.000 4.581
K Tl Sn H
2 1 1 1
Cartesian
0.000 2.808 0.000
2.808 0.000 0.000
0.000 0.000 2.291
2.808 2.808 2.291
2.808 2.808 0.000

---

(6)
KZnSnH2, optimized geometry, DFT PBE; energy = -2.0715 eV per atom
1.0
4.482 0.000 0.000
0.000 4.482 0.000
0.000 0.000 5.200
K Zn Sn H
1 1 1 2
Cartesian
0.000 0.000 0.000
2.241 2.241 2.600
2.241 2.241 0.000
0.000 2.241 2.600
2.241 0.000 2.600

---

(7)
K2ZrSnH, optimized geometry, DFT PBE; energy = -3.3604 eV per atom
1.0
4.615 0.000 0.000
0.000 4.615 0.000
0.000 0.000 5.817
K Zr Sn H
2 1 1 1
Cartesian
0.000 2.307 0.000
2.307 0.000 0.000
0.000 0.000 2.909
2.307 2.307 2.909
0.000 0.000 0.000

---

(8)
KSrH2, optimized geometry, DFT PBE; energy = -2.5947 eV per atom; offset from the most stable computed form = 0.0 kJ/mol of formula units
1.0
4.048 0.000 0.000
-2.024 3.506 0.000
0.000 0.000 22.229
K Sr H
3 3 6
Cartesian
0.000 0.000 0.000
0.000 2.337 14.820
2.024 1.169 7.410
0.000 0.000 4.283
0.000 2.337 19.103
2.024 1.169 11.693
0.000 0.000 13.172
0.000 0.000 19.290
0.000 2.337 5.763
0.000 2.337 11.880
2.024 1.169 4.470
2.024 1.169 20.582

---

(9)
K2SrH4, optimized geometry, DFT PBE; energy = -2.7526 eV per atom; offset from the most stable computed form = 0.0 kJ/mol of formula units
1.0
4.677 0.000 0.000
0.000 4.677 0.000
0.000 0.000 14.363
K Sr H
4 2 8
Cartesian
0.000 0.000 2.166
0.000 0.000 12.197
2.338 2.338 5.015
2.338 2.338 9.348
0.000 0.000 7.182
2.338 2.338 0.000
0.000 0.000 4.746
0.000 0.000 9.617
0.000 2.338 0.000
0.000 2.338 7.182
2.338 0.000 0.000
2.338 0.000 7.182
2.338 2.338 2.436
2.338 2.338 11.928

---

(10)
KSrH2, optimized geometry, DFT PBE; energy = -2.5154 eV per atom; offset from the most stable computed form = 30.6 kJ/mol of formula units
1.0
6.247 0.000 0.000
0.000 6.247 0.000
0.000 0.000 12.085
K Sr H
4 4 8
Cartesian
0.000 0.000 0.000
0.000 3.124 3.021
3.124 0.000 9.064
3.124 3.124 6.043
0.000 0.000 6.043
0.000 3.124 9.064
3.124 0.000 3.021
3.124 3.124 0.000
0.882 1.562 7.553
1.562 4.006 10.575
1.562 5.365 4.532
2.242 1.562 1.511
4.006 4.685 1.511
4.685 0.882 4.532
4.685 2.242 10.575
5.365 4.685 7.553

---

(11)
K2SrH2, optimized geometry, DFT PBE; energy = -2.0227 eV per atom
1.0
4.952 0.000 0.000
0.000 4.952 0.000
0.000 0.000 13.753
K Sr H
4 2 4
Cartesian
0.000 0.000 2.542
0.000 0.000 11.211
2.476 2.476 4.334
2.476 2.476 9.418
0.000 0.000 6.876
2.476 2.476 0.000
0.000 2.476 3.438
0.000 2.476 10.315
2.476 0.000 3.438
2.476 0.000 10.315

---

(12)
K2SrH4, optimized geometry, DFT PBE; energy = -2.7474 eV per atom; offset from the most stable computed form = 3.5 kJ/mol of formula units
1.0
12.974 0.000 0.000
0.000 3.860 0.000
-3.080 0.000 6.131
K Sr H
4 2 8
Cartesian
1.853 0.000 1.044
1.555 1.930 5.087
8.340 1.930 1.044
8.042 0.000 5.087
-1.540 1.930 3.066
4.947 0.000 3.066
-1.294 1.930 5.449
0.090 0.000 3.109
3.317 1.930 3.022
4.701 0.000 0.682
5.193 0.000 5.449
6.577 1.930 3.109
9.804 0.000 3.022
11.188 1.930 0.682